[1]
# BeCrNF2, relaxed, DFT GGA+U
data_BeCrNF2
_cell_length_a 3.1113
_cell_length_b 3.1113
_cell_length_c 5.8630
_cell_angle_alpha 90.00
_cell_angle_beta 90.00
_cell_angle_gamma 90.00
_symmetry_space_group_name_H-M 'P 4/m m m'
_symmetry_Int_Tables_number 123
_symmetry_space_group_name_Hall '-P 4 2'
loop_
_atom_site_label
_atom_site_fract_x
_atom_site_fract_y
_atom_site_fract_z
Be1 0.0000 0.0000 0.0000
Cr1 0.5000 0.5000 0.5000
N1 0.0000 0.0000 0.5000
F1 0.0000 0.5000 0.0000
# - N(E_F): 0.83 states/eV/cell
# - Crystal system: tetragonal
# - Electronic total energy: -30.29 eV/cell

=====

[2]
# BeCrNF2, relaxed, DFT GGA+U
data_BeCrNF2
_cell_length_a 3.7696
_cell_length_b 3.7696
_cell_length_c 4.1290
_cell_angle_alpha 90.00
_cell_angle_beta 90.00
_cell_angle_gamma 90.00
_symmetry_space_group_name_H-M 'P 4/m m m'
_symmetry_Int_Tables_number 123
_symmetry_space_group_name_Hall '-P 4 2'
loop_
_atom_site_label
_atom_site_fract_x
_atom_site_fract_y
_atom_site_fract_z
Be1 0.0000 0.0000 0.0000
Cr1 0.5000 0.5000 0.5000
N1 0.5000 0.5000 0.0000
F1 0.0000 0.5000 0.5000
# - N(E_F): 0.60 states/eV/cell
# - Crystal system: tetragonal
# - Electronic total energy: -26.15 eV/cell

=====

[3]
# NaBeCr2F6, relaxed, DFT GGA+U
data_NaBeCr2F6
_cell_length_a 4.8864
_cell_length_b 5.7708
_cell_length_c 6.0596
_cell_angle_alpha 104.73
_cell_angle_beta 106.87
_cell_angle_gamma 111.41
_symmetry_space_group_name_H-M 'P 1'
_symmetry_Int_Tables_number 1
loop_
_symmetry_equiv_pos_as_xyz
'x,y,z'
loop_
_atom_site_label
_atom_site_fract_x
_atom_site_fract_y
_atom_site_fract_z
Na1 0.0000 0.0000 0.0000
Be1 0.8738 0.3575 0.4434
Cr1 0.5726 0.3120 0.8482
Cr2 0.5741 0.7888 0.3869
F1 0.0350 0.2709 0.6455
F2 0.0593 0.4014 0.2747
F3 0.5137 0.0905 0.2721
F4 0.5173 0.9270 0.6986
F5 0.6832 0.6875 0.0959
F6 0.8094 0.5993 0.5612
# - N(E_F): 0.00 states/eV/cell
# - Crystal system: triclinic
# - Electronic total energy: -56.51 eV/cell

=====

[4]
# BeCrOF2, relaxed, DFT GGA+U
data_BeCrOF2
_cell_length_a 3.9158
_cell_length_b 3.9158
_cell_length_c 3.9438
_cell_angle_alpha 90.00
_cell_angle_beta 90.00
_cell_angle_gamma 90.00
_symmetry_space_group_name_H-M 'P 4/m m m'
_symmetry_Int_Tables_number 123
_symmetry_space_group_name_Hall '-P 4 2'
loop_
_atom_site_label
_atom_site_fract_x
_atom_site_fract_y
_atom_site_fract_z
Be1 0.0000 0.0000 0.0000
Cr1 0.5000 0.5000 0.5000
O1 0.5000 0.5000 0.0000
F1 0.0000 0.5000 0.5000
# - N(E_F): 1.80 states/eV/cell
# - Crystal system: tetragonal
# - Electronic total energy: -26.00 eV/cell